w | The following is a PBE calculation of Pu2AgTe after structural relaxation, from the Alexandria database.

Results
Space-group type ... Fm-3m
Calculated density ... 11.58 g/cm³

Structure (extended XYZ):
```
16
Lattice="7.459 0.000 0.000 0.000 7.459 0.000 0.000 0.000 7.459" Properties=species:S:1:pos:R:3 pbc="T T T"
Pu 1.865 1.865 1.865
Pu 1.865 1.865 5.594
Pu 1.865 5.594 1.865
Pu 1.865 5.594 5.594
Pu 5.594 1.865 1.865
Pu 5.594 1.865 5.594
Pu 5.594 5.594 1.865
Pu 5.594 5.594 5.594
Ag 0.000 0.000 0.000
Ag 0.000 3.729 3.729
Ag 3.729 0.000 3.729
Ag 3.729 3.729 0.000
Te 0.000 0.000 3.729
Te 0.000 3.729 0.000
Te 3.729 0.000 0.000
Te 3.729 3.729 3.729
```

x | The following is a PBE calculation of Pu2AgTe after structural relaxation, from the Alexandria database.

Results
Space-group type ... R-3m
Calculated density ... 9.93 g/cm³

Structure (extended XYZ):
```
12
Lattice="4.323 0.000 0.000 -2.162 3.744 0.000 0.000 0.000 22.418" Properties=species:S:1:pos:R:3 pbc="T T T"
Pu 0.000 0.000 5.547
Pu 0.000 0.000 16.871
Pu 0.000 2.496 9.398
Pu 0.000 2.496 20.492
Pu 2.162 1.248 1.926
Pu 2.162 1.248 13.020
Ag 0.000 0.000 11.209
Ag 0.000 2.496 3.736
Ag 2.162 1.248 18.682
Te 0.000 0.000 0.000
Te 0.000 2.496 14.945
Te 2.162 1.248 7.473
```

y | The following is a PBE calculation of Pu2AgTe after structural relaxation, from the Alexandria database.

Results
Space-group type ... P4/mmm
Calculated density ... 11.64 g/cm³

Structure (extended XYZ):
```
4
Lattice="5.096 0.000 0.000 0.000 5.096 0.000 0.000 0.000 3.975" Properties=species:S:1:pos:R:3 pbc="T T T"
Pu 0.000 2.548 0.000
Pu 2.548 0.000 0.000
Ag 0.000 0.000 1.987
Te 2.548 2.548 1.987
```

Preferred: y; penalty for the next structure: 26 meV/atom.

w | The following is a PBE calculation of Pu2AgTe4 after structural relaxation, from the Alexandria database.

Results
Space-group type ... P2_1/m
Calculated density ... 8.90 g/cm³

Structure (extended XYZ):
```
14
Lattice="7.762 0.000 0.000 0.000 6.271 0.000 -2.461 0.000 8.480" Properties=species:S:1:pos:R:3 pbc="T T T"
Pu 0.672 1.568 3.659
Pu -0.317 1.568 7.921
Pu 5.617 4.703 0.559
Pu 4.629 4.703 4.822
Ag 0.085 4.703 5.768
Ag 5.216 1.568 2.712
Te -0.423 4.703 3.114
Te -1.757 4.703 7.742
Te 3.031 3.190 2.093
Te 3.031 6.216 2.093
Te 2.269 0.055 6.387
Te 2.269 3.080 6.387
Te 7.058 1.568 0.739
Te 5.724 1.568 5.366
```

x | The following is a PBE calculation of Pu2AgTe4 after structural relaxation, from the Alexandria database.

Results
Space-group type ... P-4m2
Calculated density ... 9.12 g/cm³

Structure (extended XYZ):
```
7
Lattice="4.464 0.000 0.000 0.000 4.464 0.000 0.000 0.000 10.105" Properties=species:S:1:pos:R:3 pbc="T T T"
Pu 0.000 2.232 2.348
Pu 2.232 0.000 7.758
Ag 0.000 0.000 5.053
Te 0.000 0.000 0.000
Te 0.000 2.232 6.791
Te 2.232 0.000 3.314
Te 2.232 2.232 0.000
```

Preferred: x; penalty for the next structure: 22 meV/atom.

w | The following is a PBE calculation of PuAg2Te3 after structural relaxation, from the Alexandria database.

Results
Space-group type ... P2_1/m
Calculated density ... 7.49 g/cm³

Structure (extended XYZ):
```
12
Lattice="7.172 0.000 0.000 0.000 4.466 0.000 -1.524 0.000 11.670" Properties=species:S:1:pos:R:3 pbc="T T T"
Pu 0.176 1.116 2.073
Pu 5.472 3.349 9.597
Ag -0.522 3.349 4.869
Ag 2.670 3.349 0.681
Ag 2.977 1.116 10.989
Ag 6.169 1.116 6.801
Te 0.526 3.349 7.535
Te 0.097 1.116 10.913
Te 1.893 3.349 3.339
Te 3.755 1.116 8.331
Te 5.551 3.349 0.757
Te 5.121 1.116 4.135
```

x | The following is a PBE calculation of PuAg2Te3 after structural relaxation, from the Alexandria database.

Results
Space-group type ... C2/m
Calculated density ... 7.37 g/cm³

Structure (extended XYZ):
```
12
Lattice="10.877 -2.209 0.000 10.877 2.209 0.000 -0.528 0.000 7.897" Properties=species:S:1:pos:R:3 pbc="T T T"
Pu 3.363 0.000 0.350
Pu 17.864 0.000 7.547
Ag 4.204 0.000 3.546
Ag 9.549 0.000 6.644
Ag 11.678 0.000 1.253
Ag 17.023 0.000 4.351
Te 1.532 0.000 2.790
Te 5.176 0.000 6.155
Te 8.816 0.000 1.296
Te 12.411 0.000 6.601
Te 16.051 0.000 1.742
Te 19.695 0.000 5.107
```

Preferred: w; penalty for the next structure: 7 meV/atom.

w | The following is a PBE calculation of PuThAg2 after structural relaxation, from the Alexandria database.

Results
Space-group type ... P4/mmm
Calculated density ... 11.28 g/cm³

Structure (extended XYZ):
```
4
Lattice="5.512 0.000 0.000 0.000 5.512 0.000 0.000 0.000 3.352" Properties=species:S:1:pos:R:3 pbc="T T T"
Pu 0.000 0.000 0.000
Th 2.756 2.756 0.000
Ag 0.000 2.756 1.676
Ag 2.756 0.000 1.676
```

x | The following is a PBE calculation of PuThAg2 after structural relaxation, from the Alexandria database.

Results
Space-group type ... P4/mmm
Calculated density ... 11.60 g/cm³

Structure (extended XYZ):
```
4
Lattice="3.336 0.000 0.000 0.000 3.336 0.000 0.000 0.000 8.897" Properties=species:S:1:pos:R:3 pbc="T T T"
Pu 0.000 0.000 0.000
Th 0.000 0.000 4.448
Ag 1.668 1.668 2.202
Ag 1.668 1.668 6.695
```

Preferred: x; penalty for the next structure: 10 meV/atom.

w | The following is a PBE calculation of PuThAg2 after structural relaxation, from the Alexandria database.

Results
Space-group type ... Fm-3m
Calculated density ... 11.25 g/cm³

Structure (extended XYZ):
```
16
Lattice="7.420 0.000 0.000 0.000 7.420 0.000 0.000 0.000 7.420" Properties=species:S:1:pos:R:3 pbc="T T T"
Pu 0.000 0.000 0.000
Pu 0.000 3.710 3.710
Pu 3.710 0.000 3.710
Pu 3.710 3.710 0.000
Th 0.000 0.000 3.710
Th 0.000 3.710 0.000
Th 3.710 0.000 0.000
Th 3.710 3.710 3.710
Ag 1.855 1.855 1.855
Ag 1.855 1.855 5.565
Ag 1.855 5.565 1.855
Ag 1.855 5.565 5.565
Ag 5.565 1.855 1.855
Ag 5.565 1.855 5.565
Ag 5.565 5.565 1.855
Ag 5.565 5.565 5.565
```

x | The following is a PBE calculation of PuThAg2 after structural relaxation, from the Alexandria database.

Results
Space-group type ... R-3m
Calculated density ... 11.47 g/cm³

Structure (extended XYZ):
```
12
Lattice="3.314 0.000 0.000 -1.657 2.870 0.000 0.000 0.000 31.601" Properties=species:S:1:pos:R:3 pbc="T T T"
Pu 0.000 0.000 0.000
Pu 0.000 1.913 21.067
Pu 1.657 0.957 10.534
Th 0.000 0.000 15.800
Th 0.000 1.913 5.267
Th 1.657 0.957 26.334
Ag 0.000 0.000 7.955
Ag 0.000 0.000 23.646
Ag 0.000 1.913 13.113
Ag 0.000 1.913 29.022
Ag 1.657 0.957 2.579
Ag 1.657 0.957 18.488
```

Preferred: w; penalty for the next structure: 103 meV/atom.

w | The following is a PBE calculation of PuTi2Ag after structural relaxation, from the Alexandria database.

Results
Space-group type ... P4/mmm
Calculated density ... 9.86 g/cm³

Structure (extended XYZ):
```
4
Lattice="3.068 0.000 0.000 0.000 3.068 0.000 0.000 0.000 8.004" Properties=species:S:1:pos:R:3 pbc="T T T"
Pu 0.000 0.000 0.000
Ti 1.534 1.534 2.099
Ti 1.534 1.534 5.905
Ag 0.000 0.000 4.002
```

x | The following is a PBE calculation of PuTi2Ag after structural relaxation, from the Alexandria database.

Results
Space-group type ... P4/mmm
Calculated density ... 10.20 g/cm³

Structure (extended XYZ):
```
4
Lattice="4.852 0.000 0.000 0.000 4.852 0.000 0.000 0.000 3.095" Properties=species:S:1:pos:R:3 pbc="T T T"
Pu 0.000 0.000 0.000
Ti 0.000 2.426 1.548
Ti 2.426 0.000 1.548
Ag 2.426 2.426 0.000
```

Preferred: x; penalty for the next structure: 16 meV/atom.

w | The following is a PBE calculation of Pu2TlAg after structural relaxation, from the Alexandria database.

Results
Space-group type ... P4/mmm
Calculated density ... 13.70 g/cm³

Structure (extended XYZ):
```
4
Lattice="4.460 0.000 0.000 0.000 4.460 0.000 0.000 0.000 4.878" Properties=species:S:1:pos:R:3 pbc="T T T"
Pu 0.000 2.230 0.000
Pu 2.230 0.000 0.000
Tl 0.000 0.000 2.439
Ag 2.230 2.230 2.439
```

x | The following is a PBE calculation of Pu2TlAg after structural relaxation, from the Alexandria database.

Results
Space-group type ... P4/mmm
Calculated density ... 12.91 g/cm³

Structure (extended XYZ):
```
4
Lattice="4.056 0.000 0.000 0.000 4.056 0.000 0.000 0.000 6.259" Properties=species:S:1:pos:R:3 pbc="T T T"
Pu 0.000 0.000 1.522
Pu 0.000 0.000 4.737
Tl 2.028 2.028 3.130
Ag 2.028 2.028 0.000
```

y | The following is a PBE calculation of Pu2TlAg after structural relaxation, from the Alexandria database.

Results
Space-group type ... R-3m
Calculated density ... 12.79 g/cm³

Structure (extended XYZ):
```
12
Lattice="3.203 0.000 0.000 -1.602 2.774 0.000 0.000 0.000 35.085" Properties=species:S:1:pos:R:3 pbc="T T T"
Pu 0.000 0.000 3.027
Pu 0.000 0.000 32.057
Pu 0.000 1.850 20.362
Pu 0.000 1.850 26.417
Pu 1.602 0.925 8.668
Pu 1.602 0.925 14.722
Tl 0.000 0.000 17.542
Tl 0.000 1.850 5.847
Tl 1.602 0.925 29.237
Ag 0.000 0.000 0.000
Ag 0.000 1.850 23.390
Ag 1.602 0.925 11.695
```

z | The following is a PBE calculation of Pu2TlAg after structural relaxation, from the Alexandria database.

Results
Space-group type ... Fm-3m
Calculated density ... 12.56 g/cm³

Structure (extended XYZ):
```
16
Lattice="7.507 0.000 0.000 0.000 7.507 0.000 0.000 0.000 7.507" Properties=species:S:1:pos:R:3 pbc="T T T"
Pu 1.877 1.877 1.877
Pu 1.877 1.877 5.630
Pu 1.877 5.630 1.877
Pu 1.877 5.630 5.630
Pu 5.630 1.877 1.877
Pu 5.630 1.877 5.630
Pu 5.630 5.630 1.877
Pu 5.630 5.630 5.630
Tl 0.000 0.000 0.000
Tl 0.000 3.754 3.754
Tl 3.754 0.000 3.754
Tl 3.754 3.754 0.000
Ag 0.000 0.000 3.754
Ag 0.000 3.754 0.000
Ag 3.754 0.000 0.000
Ag 3.754 3.754 3.754
```

Preferred: w; penalty for the next structure: 56 meV/atom.

w | The following is a PBE calculation of TmPuAg after structural relaxation, from the Alexandria database.

Results
Space-group type ... P2_1/m
Calculated density ... 13.24 g/cm³

Structure (extended XYZ):
```
6
Lattice="3.325 0.000 0.000 0.000 3.772 0.000 -0.610 0.000 10.417" Properties=species:S:1:pos:R:3 pbc="T T T"
Tm 0.531 0.943 2.774
Tm 2.183 2.829 7.643
Pu 0.608 0.943 9.916
Pu 2.106 2.829 0.501
Ag 0.526 0.943 5.958
Ag 2.188 2.829 4.459
```

x | The following is a PBE calculation of TmPuAg after structural relaxation, from the Alexandria database.

Results
Space-group type ... I4mm
Calculated density ... 11.24 g/cm³

Structure (extended XYZ):
```
6
Lattice="3.378 0.000 0.000 0.000 3.378 0.000 0.000 0.000 13.480" Properties=species:S:1:pos:R:3 pbc="T T T"
Tm 0.000 0.000 0.000
Tm 1.689 1.689 6.740
Pu 0.000 0.000 9.353
Pu 1.689 1.689 2.613
Ag 0.000 0.000 4.820
Ag 1.689 1.689 11.560
```

Preferred: w; penalty for the next structure: 20 meV/atom.

w | The following is a PBE calculation of Tm2PuAg after structural relaxation, from the Alexandria database.

Results
Space-group type ... P4/mmm
Calculated density ... 10.99 g/cm³

Structure (extended XYZ):
```
4
Lattice="3.484 0.000 0.000 0.000 3.484 0.000 0.000 0.000 8.583" Properties=species:S:1:pos:R:3 pbc="T T T"
Tm 0.000 0.000 1.870
Tm 0.000 0.000 6.713
Pu 1.742 1.742 4.292
Ag 1.742 1.742 0.000
```

x | The following is a PBE calculation of Tm2PuAg after structural relaxation, from the Alexandria database.

Results
Space-group type ... P4/mmm
Calculated density ... 11.36 g/cm³

Structure (extended XYZ):
```
4
Lattice="5.345 0.000 0.000 0.000 5.345 0.000 0.000 0.000 3.530" Properties=species:S:1:pos:R:3 pbc="T T T"
Tm 0.000 2.673 0.000
Tm 2.673 0.000 0.000
Pu 0.000 0.000 1.765
Ag 2.673 2.673 1.765
```

Preferred: w; penalty for the next structure: 89 meV/atom.

w | The following is a PBE calculation of Y2PuAg after structural relaxation, from the Alexandria database.

Results
Space-group type ... R-3m
Calculated density ... 7.71 g/cm³

Structure (extended XYZ):
```
12
Lattice="3.394 0.000 0.000 -1.697 2.940 0.000 0.000 0.000 34.306" Properties=species:S:1:pos:R:3 pbc="T T T"
Y 0.000 0.000 3.290
Y 0.000 0.000 31.017
Y 0.000 1.960 19.581
Y 0.000 1.960 26.161
Y 1.697 0.980 8.146
Y 1.697 0.980 14.725
Pu 0.000 0.000 0.000
Pu 0.000 1.960 22.871
Pu 1.697 0.980 11.435
Ag 0.000 0.000 17.153
Ag 0.000 1.960 5.718
Ag 1.697 0.980 28.589
```

x | The following is a PBE calculation of Y2PuAg after structural relaxation, from the Alexandria database.

Results
Space-group type ... P4/mmm
Calculated density ... 8.31 g/cm³

Structure (extended XYZ):
```
4
Lattice="5.434 0.000 0.000 0.000 5.434 0.000 0.000 0.000 3.584" Properties=species:S:1:pos:R:3 pbc="T T T"
Y 0.000 2.717 0.000
Y 2.717 0.000 0.000
Pu 0.000 0.000 1.792
Ag 2.717 2.717 1.792
```

Preferred: x; penalty for the next structure: 236 meV/atom.

w | The following is a PBE calculation of PuZrAg2 after structural relaxation, from the Alexandria database.

Results
Space-group type ... P4/mmm
Calculated density ... 10.70 g/cm³

Structure (extended XYZ):
```
4
Lattice="3.086 0.000 0.000 0.000 3.086 0.000 0.000 0.000 8.980" Properties=species:S:1:pos:R:3 pbc="T T T"
Pu 0.000 0.000 0.000
Zr 0.000 0.000 4.490
Ag 1.543 1.543 2.388
Ag 1.543 1.543 6.592
```

x | The following is a PBE calculation of PuZrAg2 after structural relaxation, from the Alexandria database.

Results
Space-group type ... P4/mmm
Calculated density ... 10.60 g/cm³

Structure (extended XYZ):
```
4
Lattice="4.395 0.000 0.000 0.000 4.395 0.000 0.000 0.000 4.466" Properties=species:S:1:pos:R:3 pbc="T T T"
Pu 0.000 0.000 0.000
Zr 2.198 2.198 0.000
Ag 0.000 2.198 2.233
Ag 2.198 0.000 2.233
```

Preferred: w; penalty for the next structure: 83 meV/atom.

w | The following is a PBE calculation of Pu2ZrAg after structural relaxation, from the Alexandria database.

Results
Space-group type ... P4/mmm
Calculated density ... 12.38 g/cm³

Structure (extended XYZ):
```
4
Lattice="4.317 0.000 0.000 0.000 4.317 0.000 0.000 0.000 4.946" Properties=species:S:1:pos:R:3 pbc="T T T"
Pu 0.000 2.158 0.000
Pu 2.158 0.000 0.000
Zr 0.000 0.000 2.473
Ag 2.158 2.158 2.473
```

x | The following is a PBE calculation of Pu2ZrAg after structural relaxation, from the Alexandria database.

Results
Space-group type ... P4/mmm
Calculated density ... 11.59 g/cm³

Structure (extended XYZ):
```
4
Lattice="3.924 0.000 0.000 0.000 3.924 0.000 0.000 0.000 6.392" Properties=species:S:1:pos:R:3 pbc="T T T"
Pu 0.000 0.000 1.520
Pu 0.000 0.000 4.872
Zr 1.962 1.962 3.196
Ag 1.962 1.962 0.000
```

Preferred: w; penalty for the next structure: 75 meV/atom.